# 1
LiSmFe | the Open Quantum Materials Database | PBE-GGA | relaxed; SG = No. 216; DFT total energy = -4.025 eV per atom
1.0
0.000 3.250 3.250
3.250 0.000 3.250
3.250 3.250 0.000
Li Sm Fe
1 1 1
Direct
0.000 0.000 0.000
0.750 0.750 0.750
0.500 0.500 0.500

***

# 2
Gd2ErZn3Ir2Pt | the Open Quantum Materials Database | PBE-GGA | relaxed; SG = No. 38; calculated formation energy = -786 meV per atom
1.0
3.900 0.000 0.000
0.000 6.216 3.608
0.000 -6.216 3.608
Gd Er Zn Ir Pt
2 1 3 2 1
Direct
0.000 0.205 0.795
0.000 0.795 0.205
0.000 0.390 0.390
0.500 0.049 0.049
0.500 0.542 0.795
0.500 0.795 0.542
0.500 0.133 0.460
0.500 0.460 0.133
0.000 0.792 0.792

***

# 3
CsYCdS3 | the Open Quantum Materials Database | PBE-GGA | relaxed; SG = No. 12; DFT total energy = -4.763 eV per atom
1.0
8.673 -2.075 0.000
8.673 2.075 0.000
-1.903 0.000 9.023
Cs Y Cd S
2 2 2 6
Direct
0.153 0.153 0.057
0.847 0.847 0.943
0.166 0.166 0.570
0.834 0.834 0.430
0.499 0.499 0.280
0.501 0.501 0.720
0.000 0.000 0.500
0.331 0.331 0.630
0.346 0.346 0.246
0.500 0.500 0.000
0.654 0.654 0.754
0.669 0.669 0.370

***

# 4
CdReNO | the Open Quantum Materials Database | PBE-GGA | relaxed; SG = No. 29; DFT total energy = -6.861 eV per atom
1.0
5.159 0.000 0.000
0.000 7.742 0.000
0.000 0.000 5.179
Cd Re N O
4 4 4 4
Direct
0.089 0.105 0.000
0.411 0.105 0.500
0.589 0.895 0.000
0.911 0.895 0.500
0.109 0.564 0.007
0.391 0.564 0.507
0.609 0.436 0.007
0.891 0.436 0.507
0.035 0.647 0.655
0.465 0.647 0.155
0.535 0.353 0.655
0.965 0.353 0.155
0.016 0.819 0.093
0.484 0.819 0.593
0.516 0.181 0.093
0.984 0.181 0.593

***

# 5
PaFeSn | the Open Quantum Materials Database | PBE-GGA | relaxed; SG = No. 216; DFT total energy = -7.474 eV per atom
1.0
0.000 3.185 3.185
3.185 0.000 3.185
3.185 3.185 0.000
Pa Fe Sn
1 1 1
Direct
0.000 0.000 0.000
0.750 0.750 0.750
0.500 0.500 0.500

***

# 6
KTbMg | the Open Quantum Materials Database | PBE-GGA | relaxed; SG = No. 216; DFT total energy = -1.393 eV per atom
1.0
0.000 3.935 3.935
3.935 0.000 3.935
3.935 3.935 0.000
K Tb Mg
1 1 1
Direct
0.000 0.000 0.000
0.250 0.250 0.250
0.750 0.750 0.750